No. 1
VASP calculation (GGA-PBE) on a geometry-optimized Ac2Al3Au structure.

abc: 9.1420 9.1173 6.4402
angles: 69.55 69.14 41.31
Positions (direct):
Ac  0.2410  0.7590  0.7590
Ac  0.2500  0.2500  0.2500
Ac  0.7500  0.7500  0.7500
Ac  0.7590  0.2410  0.2410
Al  0.1702  0.6639  0.3361
Al  0.3347  0.3347  0.6653
Al  0.3361  0.8298  0.1702
Al  0.6639  0.1702  0.8298
Al  0.6653  0.6653  0.3347
Al  0.8298  0.3361  0.6639
Au  0.1677  0.1677  0.8323
Au  0.8323  0.8323  0.1677

Values from the calculation:
- final energy (Ry per atom) = -0.317
- total moment (Bohr magnetons per cell) = 0.0
- SG = Fmmm (69)

No. 2
VASP calculation (GGA-PBE) on a geometry-optimized Ac3Al4Au4 structure.

abc: 13.9934 13.9934 13.9934
angles: 161.80 161.48 26.08
Positions (direct):
Ac  0.0000  0.0000  0.0000
Ac  0.3500  0.8500  0.5000
Ac  0.6500  0.1500  0.5000
Al  0.1011  0.6011  0.5000
Al  0.2501  0.2501  0.0000
Al  0.7499  0.7499  0.0000
Al  0.8989  0.3989  0.5000
Au  0.1975  0.6975  0.5000
Au  0.4466  0.4466  0.0000
Au  0.5534  0.5534  0.0000
Au  0.8025  0.3025  0.5000

Values from the calculation:
- final energy (Ry per atom) = -0.323
- total moment (Bohr magnetons per cell) = 0.0
- SG = Immm (71)